CoNiPt2 after structural relaxation. Source: the Alexandria database, functional GGA-PBE.

Geometry as CIF:
```
data_CoNiPt2
_cell_length_a 6.7097
_cell_length_b 6.7097
_cell_length_c 5.3090
_cell_angle_alpha 90.00
_cell_angle_beta 90.00
_cell_angle_gamma 90.00
_space_group_name_H-M_alt 'I -4 2 d'
_space_group_IT_number 122
_space_group_name_Hall 'I -4 2bw'
loop_
_atom_site_label
_atom_site_type_symbol
_atom_site_fract_x
_atom_site_fract_y
_atom_site_fract_z
Co1 Co 0.0000 0.0000 0.0000
Ni1 Ni 0.0000 0.0000 0.5000
Pt1 Pt 0.2446 0.2500 0.1250
```

---

Co2Ni2Pt5 after structural relaxation. Source: the Alexandria database, functional GGA-PBE.

Values from the calculation:
distance to the lowest polymorph of the same formula: 0.0000 eV/atom

Geometry as CIF:
```
data_Co2Ni2Pt5
_cell_length_a 8.5774
_cell_length_b 3.7730
_cell_length_c 8.1250
_cell_angle_alpha 90.00
_cell_angle_beta 108.74
_cell_angle_gamma 90.00
_space_group_name_H-M_alt 'C 1 2/m 1'
_space_group_IT_number 12
loop_
_space_group_symop_operation_xyz
'x,y,z'
'-x,-y,-z'
'-x,y,-z'
'x,-y,z'
'x+1/2,y+1/2,z'
'-x+1/2,-y+1/2,-z'
'-x+1/2,y+1/2,-z'
'x+1/2,-y+1/2,z'
loop_
_atom_site_label
_atom_site_type_symbol
_atom_site_fract_x
_atom_site_fract_y
_atom_site_fract_z
Co1 Co 0.1698 0.0000 0.3920
Ni1 Ni 0.1672 0.0000 0.0575
Pt1 Pt 0.0000 0.5000 0.5000
Pt2 Pt 0.0036 0.5000 0.8385
Pt3 Pt 0.1743 0.0000 0.7223
```

---

CoNiPt3 after structural relaxation. Source: the Alexandria database, functional GGA-PBE.

Values from the calculation:
distance to the lowest polymorph of the same formula: 1.1428 eV/atom

Geometry as CIF:
```
data_CoNiPt3
_cell_length_a 4.5150
_cell_length_b 4.5150
_cell_length_c 4.5150
_cell_angle_alpha 90.00
_cell_angle_beta 90.00
_cell_angle_gamma 90.00
_space_group_name_H-M_alt 'P m -3 m'
_space_group_IT_number 221
_space_group_name_Hall '-P 4 2 3'
loop_
_atom_site_label
_atom_site_type_symbol
_atom_site_fract_x
_atom_site_fract_y
_atom_site_fract_z
Co1 Co 0.0000 0.0000 0.0000
Ni1 Ni 0.5000 0.5000 0.5000
Pt1 Pt 0.0000 0.0000 0.5000
```

---

Co3Ni2Pt after structural relaxation. Source: the Alexandria database, functional GGA-PBE.

Values from the calculation:
distance to the lowest polymorph of the same formula: 0.0000 eV/atom

Geometry as CIF:
```
data_Co3Ni2Pt
_cell_length_a 3.6547
_cell_length_b 3.6547
_cell_length_c 21.2590
_cell_angle_alpha 90.00
_cell_angle_beta 90.00
_cell_angle_gamma 90.00
_space_group_name_H-M_alt 'I 41/a m d'
_space_group_IT_number 141
loop_
_space_group_symop_operation_xyz
'x,y,z'
'-x,-y,-z'
'-y+1/4,x+3/4,z+1/4'
'y+1/4,-x+3/4,-z+1/4'
'-x+1/2,-y,z+1/2'
'x+1/2,y,-z+1/2'
'y+1/4,-x+1/4,z+3/4'
'-y+1/4,x+1/4,-z+3/4'
'x,-y,-z'
'-x,y,z'
'-y+1/4,-x+1/4,-z+3/4'
'y+1/4,x+1/4,z+3/4'
'-x+1/2,y,-z+1/2'
'x+1/2,-y,z+1/2'
'y+1/4,x+3/4,-z+1/4'
'-y+1/4,-x+3/4,z+1/4'
'x+1/2,y+1/2,z+1/2'
'-x+1/2,-y+1/2,-z+1/2'
'-y+3/4,x+1/4,z+3/4'
'y+3/4,-x+1/4,-z+3/4'
'-x,-y+1/2,z'
'x,y+1/2,-z'
'y+3/4,-x+3/4,z+1/4'
'-y+3/4,x+3/4,-z+1/4'
'x+1/2,-y+1/2,-z+1/2'
'-x+1/2,y+1/2,z+1/2'
'-y+3/4,-x+3/4,-z+1/4'
'y+3/4,x+3/4,z+1/4'
'-x,y+1/2,-z'
'x,-y+1/2,z'
'y+3/4,x+1/4,-z+3/4'
'-y+3/4,-x+1/4,z+3/4'
loop_
_atom_site_label
_atom_site_type_symbol
_atom_site_fract_x
_atom_site_fract_y
_atom_site_fract_z
Co1 Co 0.0000 0.2500 0.0393
Co2 Co 0.0000 0.2500 0.3750
Ni1 Ni 0.0000 0.2500 0.2103
Pt1 Pt 0.0000 0.2500 0.8750
```

---

CoNi12Pt3 after structural relaxation. Source: the Alexandria database, functional GGA-PBE.

Geometry as CIF:
```
data_CoNi12Pt3
_cell_length_a 3.6247
_cell_length_b 3.6247
_cell_length_c 14.5034
_cell_angle_alpha 90.00
_cell_angle_beta 90.00
_cell_angle_gamma 90.00
_space_group_name_H-M_alt 'P 4/m m m'
_space_group_IT_number 123
_space_group_name_Hall '-P 4 2'
loop_
_atom_site_label
_atom_site_type_symbol
_atom_site_fract_x
_atom_site_fract_y
_atom_site_fract_z
Co1 Co 0.0000 0.0000 0.0000
Ni1 Ni 0.0000 0.5000 0.1166
Ni2 Ni 0.0000 0.5000 0.3725
Ni3 Ni 0.5000 0.5000 0.0000
Ni4 Ni 0.5000 0.5000 0.2442
Ni5 Ni 0.5000 0.5000 0.5000
Pt1 Pt 0.0000 0.0000 0.2453
Pt2 Pt 0.0000 0.0000 0.5000
```

---

Co2Ni7Pt2 after structural relaxation. Source: the Alexandria database, functional GGA-PBE.

Geometry as CIF:
```
data_Co2Ni7Pt2
_cell_length_a 8.0374
_cell_length_b 3.6297
_cell_length_c 9.3027
_cell_angle_alpha 90.00
_cell_angle_beta 105.55
_cell_angle_gamma 90.00
_space_group_name_H-M_alt 'C 1 2/m 1'
_space_group_IT_number 12
loop_
_space_group_symop_operation_xyz
'x,y,z'
'-x,-y,-z'
'-x,y,-z'
'x,-y,z'
'x+1/2,y+1/2,z'
'-x+1/2,-y+1/2,-z'
'-x+1/2,y+1/2,-z'
'x+1/2,-y+1/2,z'
loop_
_atom_site_label
_atom_site_type_symbol
_atom_site_fract_x
_atom_site_fract_y
_atom_site_fract_z
Co1 Co 0.1374 0.0000 0.4581
Ni1 Ni 0.0000 0.5000 0.0000
Ni2 Ni 0.0419 0.0000 0.8040
Ni3 Ni 0.0901 0.5000 0.6270
Ni4 Ni 0.1800 0.5000 0.2860
Pt1 Pt 0.2274 0.0000 0.1015
```

---

CoNiPt2 after structural relaxation. Source: the Alexandria database, functional GGA-PBE.

Geometry as CIF:
```
data_CoNiPt2
_cell_length_a 5.4398
_cell_length_b 7.3397
_cell_length_c 2.7085
_cell_angle_alpha 90.00
_cell_angle_beta 90.00
_cell_angle_gamma 90.00
_space_group_name_H-M_alt 'C m m m'
_space_group_IT_number 65
_space_group_name_Hall '-C 2 2'
loop_
_atom_site_label
_atom_site_type_symbol
_atom_site_fract_x
_atom_site_fract_y
_atom_site_fract_z
Co1 Co 0.0000 0.0000 0.0000
Ni1 Ni 0.0000 0.5000 0.0000
Pt1 Pt 0.2500 0.2500 0.5000
```

---

CoNi14Pt after structural relaxation. Source: the Alexandria database, functional GGA-PBE.

Geometry as CIF:
```
data_CoNi14Pt
_cell_length_a 8.2063
_cell_length_b 5.0407
_cell_length_c 8.7232
_cell_angle_alpha 90.00
_cell_angle_beta 90.00
_cell_angle_gamma 90.00
_space_group_name_H-M_alt 'A m m 2'
_space_group_IT_number 38
loop_
_space_group_symop_operation_xyz
'x,y,z'
'-x,-y,z'
'-x,y,z'
'x,-y,z'
'x,y+1/2,z+1/2'
'-x,-y+1/2,z+1/2'
'-x,y+1/2,z+1/2'
'x,-y+1/2,z+1/2'
loop_
_atom_site_label
_atom_site_type_symbol
_atom_site_fract_x
_atom_site_fract_y
_atom_site_fract_z
Co1 Co 0.0000 0.0000 0.0000
Ni1 Ni 0.0000 0.2494 0.2488
Ni2 Ni 0.2500 0.0000 0.8336
Ni3 Ni 0.2543 0.2463 0.0837
Ni4 Ni 0.2558 0.0000 0.3309
Ni5 Ni 0.5000 0.0000 0.1659
Ni6 Ni 0.5000 0.0000 0.6666
Ni7 Ni 0.5000 0.2492 0.9159
Pt1 Pt 0.0000 0.0000 0.4990
```

---

Co3NiPt6 after structural relaxation. Source: the Alexandria database, functional GGA-PBE.

Geometry as CIF:
```
data_Co3NiPt6
_cell_length_a 7.1979
_cell_length_b 4.4010
_cell_length_c 9.4480
_cell_angle_alpha 90.00
_cell_angle_beta 109.87
_cell_angle_gamma 90.00
_space_group_name_H-M_alt 'P 1 21/m 1'
_space_group_IT_number 11
loop_
_space_group_symop_operation_xyz
'x,y,z'
'-x,-y,-z'
'-x,y+1/2,-z'
'x,-y+1/2,z'
loop_
_atom_site_label
_atom_site_type_symbol
_atom_site_fract_x
_atom_site_fract_y
_atom_site_fract_z
Co1 Co 0.1089 0.2500 0.2326
Co2 Co 0.2944 0.2500 0.0345
Co3 Co 0.3050 0.7500 0.3674
Ni1 Ni 0.1029 0.7500 0.5675
Pt1 Pt 0.0773 0.2500 0.7200
Pt2 Pt 0.1009 0.7500 0.0710
Pt3 Pt 0.2835 0.2500 0.5224
Pt4 Pt 0.2877 0.7500 0.8623
Pt5 Pt 0.4970 0.2500 0.3347
Pt6 Pt 0.4971 0.2500 0.8356
```

---

Co2Ni2Pt5 after structural relaxation. Source: the Alexandria database, functional GGA-PBE.

Values from the calculation:
distance to the lowest polymorph of the same formula: 0.2796 eV/atom

Geometry as CIF:
```
data_Co2Ni2Pt5
_cell_length_a 12.2468
_cell_length_b 6.5678
_cell_length_c 6.5002
_cell_angle_alpha 90.00
_cell_angle_beta 90.00
_cell_angle_gamma 90.00
_space_group_name_H-M_alt 'C m c e'
_space_group_IT_number 64
_space_group_name_Hall '-C 2ac 2'
loop_
_atom_site_label
_atom_site_type_symbol
_atom_site_fract_x
_atom_site_fract_y
_atom_site_fract_z
Co1 Co 0.2140 0.0000 0.0000
Ni1 Ni 0.0000 0.1223 0.3798
Pt1 Pt 0.0000 0.0000 0.0000
Pt2 Pt 0.1404 0.1867 0.6789
```

---

Co11Ni9Pt4 after structural relaxation. Source: the Alexandria database, functional GGA-PBE.

Geometry as CIF:
```
data_Co11Ni9Pt4
_cell_length_a 14.8132
_cell_length_b 15.1562
_cell_length_c 2.5694
_cell_angle_alpha 90.00
_cell_angle_beta 90.00
_cell_angle_gamma 90.00
_space_group_name_H-M_alt 'C m m m'
_space_group_IT_number 65
_space_group_name_Hall '-C 2 2'
loop_
_atom_site_label
_atom_site_type_symbol
_atom_site_fract_x
_atom_site_fract_y
_atom_site_fract_z
Co1 Co 0.0000 0.0000 0.0000
Co2 Co 0.0000 0.1687 0.0000
Co3 Co 0.0000 0.3390 0.0000
Co4 Co 0.2344 0.0000 0.0000
Co5 Co 0.2383 0.1722 0.0000
Ni1 Ni 0.0000 0.5000 0.5000
Ni2 Ni 0.1184 0.0838 0.5000
Ni3 Ni 0.1184 0.2465 0.5000
Pt1 Pt 0.1402 0.4104 0.5000
```

---

Co2NiPt after structural relaxation. Source: the Alexandria database, functional GGA-PBE.

Geometry as CIF:
```
data_Co2NiPt
_cell_length_a 2.6255
_cell_length_b 2.6255
_cell_length_c 25.0674
_cell_angle_alpha 90.00
_cell_angle_beta 90.00
_cell_angle_gamma 120.00
_space_group_name_H-M_alt 'R -3 m'
_space_group_IT_number 166
_space_group_name_Hall '-R 3 2"'
loop_
_atom_site_label
_atom_site_type_symbol
_atom_site_fract_x
_atom_site_fract_y
_atom_site_fract_z
Co1 Co 0.0000 0.0000 0.2455
Ni1 Ni 0.0000 0.0000 0.5000
Pt1 Pt 0.0000 0.0000 0.0000
```

---

Energy relative to the elements / eV per atom: 0.3500; -0.0800; 1.1706; -0.0380; -0.0495; -0.0356; -0.0968; -0.0017; -0.0593; 0.1996; 0.0397; 0.0229
Volume / Å³ per cell: 239.0; 249.0; 92.0; 284.0; 190.5; 261.5; 108.1; 360.8; 281.5; 522.8; 576.9; 149.6